{
  "formula": "Pu11Sn9Pd4",
  "functional": "PBE-GGA",
  "state": "optimized geometry",
  "cell": [[-0.136, 3.040, -2.861], [8.262, -6.128, -6.904], [-11.695, -3.066, -2.703]],
  "species": ["Pd", "Pd", "Pd", "Pd", "Pu", "Pu", "Pu", "Pu", "Pu", "Pu", "Pu", "Pu", "Pu", "Pu", "Pu", "Sn", "Sn", "Sn", "Sn", "Sn", "Sn", "Sn", "Sn", "Sn"],
  "frac_coords": [[0.500, 0.551, 0.753], [0.500, 0.753, 0.551], [0.500, 0.449, 0.247], [0.500, 0.247, 0.449], [0.000, 0.304, 0.304], [0.000, 0.591, 0.940], [0.000, 0.000, 0.000], [0.000, 0.696, 0.696], [0.000, 0.370, 0.630], [0.000, 0.158, 0.842], [0.000, 0.060, 0.409], [0.000, 0.842, 0.158], [0.000, 0.630, 0.370], [0.000, 0.409, 0.060], [0.000, 0.940, 0.591], [0.500, 0.845, 0.371], [0.500, 0.069, 0.217], [0.500, 0.783, 0.931], [0.500, 0.371, 0.845], [0.500, 0.217, 0.069], [0.500, 0.155, 0.629], [0.500, 0.931, 0.783], [0.500, 0.629, 0.155], [0.500, 0.500, 0.500]],
  "total_magnetization_mub_per_cell": 61.02,
  "energy_ev_per_atom": -9.39,
  "n_ef_per_ev_atom": 3.976
}